A plane-wave DFT calculation with PBE with a Hubbard U was carried out for crystalline PdWOF2 at its relaxed geometry.

For the energy above the lowest structure with this stoichiometry, the calculation gives 0.00 eV/f.u. As for the total magnetization: 2.0 μB/cell. The total energy comes out at -5.44 eV/atom.

The space group is P4/mmm (No. 123) and the conventional cell measures 4.2495, 4.2495 and 3.9894 Å, with angles of 90.00, 90.00 and 90.00 degrees. The inequivalent atoms are Pd at (0.0000, 0.0000, 0.0000), W at (0.5000, 0.5000, 0.5000), O at (0.5000, 0.5000, 0.0000) and F at (0.0000, 0.5000, 0.5000).